Computed, not measured: a relaxed structure of CaLaMnNbO6 at the PBE+U level of DFT.

* total DFT energy (no corrections): -8.22 eV per atom
* crystal system: monoclinic
* ρ: 5.3 g/cm³
* relative energy among the computed polymorphs: 0.000 kcal/mol of atoms

a b c (Å): 5.6191 5.8259 8.0816
angles (deg): 90.00 89.77 90.00
With the nearest neighbours (Å) after each atom.
Fractional positions:
1 La 0.4875 0.1973 0.2465  5 O 2.37-2.64
2 La 0.9875 0.8027 0.7465  5 O 2.37-2.64
3 Ca 0.0156 0.6952 0.2520  5 O 2.36-2.64
4 Ca 0.5156 0.3048 0.7520  5 O 2.36-2.64
5 O 0.1858 0.9665 0.0605  1 Nb 2.04, 1 Mn 2.22
6 O 0.6858 0.0335 0.5605  1 Nb 2.04, 1 Mn 2.22
7 O 0.1077 0.2123 0.7620  1 Nb 2.01, 1 Mn 2.22
8 O 0.2888 0.4448 0.0520  1 Nb 2.02, 1 Mn 2.17
9 O 0.7084 0.0631 0.9503  1 Nb 2.02, 1 Mn 2.21
10 O 0.8111 0.5389 0.9404  1 Nb 2.02, 1 Mn 2.19
11 O 0.3111 0.4611 0.4404  1 Nb 2.02, 1 Mn 2.19
12 O 0.2084 0.9369 0.4503  1 Nb 2.02, 1 Mn 2.21
13 O 0.3964 0.7065 0.7385  1 Nb 2.04, 1 Mn 2.20
14 O 0.6077 0.7877 0.2620  1 Nb 2.01, 1 Mn 2.22
15 O 0.7888 0.5552 0.5520  1 Nb 2.02, 1 Mn 2.17
16 O 0.8964 0.2935 0.2385  1 Nb 2.04, 1 Mn 2.20
17 Nb 0.4998 0.7459 0.4981  6 O 2.01-2.04
18 Nb 0.9998 0.2541 0.9981  6 O 2.01-2.04
19 Mn 0.4988 0.7487 0.9998  6 O 2.17-2.22
20 Mn 0.9988 0.2513 0.4998  6 O 2.17-2.22